Model a:
VASP calculation (GGA-PBE) on a relaxed structure of Tb2DyZr.

Structure (POSCAR):
```
Tb2DyZr
1.0
1.733 1.001 11.210
-1.733 1.001 11.210
0.000 -2.002 11.210
Tb Dy Zr
2 1 1
Cartesian
0.000 0.000 0.000 Tb
0.000 0.000 5.913 Tb
0.000 0.000 25.377 Dy
0.000 0.000 19.770 Zr
```

Values from the calculation:
- Density: 8.1 g/cm3
- Size of the total moment: 0.0 μB/cell
- Symmetry: R3m (160)

Model b:
VASP calculation (GGA-PBE) on a relaxed structure of Tb2DyZr.

Structure (POSCAR):
```
Tb2DyZr
1.0
0.000 3.894 3.894
3.894 0.000 3.894
3.894 3.894 0.000
Tb Dy Zr
2 1 1
Cartesian
1.947 1.947 1.947 Tb
5.841 5.841 5.841 Tb
0.000 0.000 0.000 Dy
3.894 3.894 3.894 Zr
```

Values from the calculation:
- Density: 8.0 g/cm3
- Size of the total moment: 2.5 μB/cell
- Symmetry: Fm-3m (225)

Model c:
VASP calculation (GGA-PBE) on a relaxed structure of Tb2DyZr.

Structure (POSCAR):
```
Tb2DyZr
1.0
4.023 0.000 0.000
0.000 4.023 0.000
0.000 0.000 7.223
Tb Dy Zr
2 1 1
Cartesian
0.000 0.000 1.629 Tb
0.000 0.000 5.594 Tb
2.012 2.012 3.611 Dy
2.012 2.012 0.000 Zr
```

Values from the calculation:
- Density: 8.1 g/cm3
- Size of the total moment: 0.0 μB/cell
- Symmetry: P4/mmm (123)

Model d:
VASP calculation (GGA-PBE) on a relaxed structure of Tb2DyZr.

Structure (POSCAR):
```
Tb2DyZr
1.0
4.874 0.000 0.000
0.000 4.874 0.000
0.000 0.000 4.868
Tb Dy Zr
2 1 1
Cartesian
0.000 2.437 0.000 Tb
2.437 0.000 0.000 Tb
0.000 0.000 2.434 Dy
2.437 2.437 2.434 Zr
```

Values from the calculation:
- Density: 8.2 g/cm3
- Size of the total moment: 0.0 μB/cell
- Symmetry: P4/mmm (123)

model a takes first place; second place is 0.015 eV/atom up.